Density functional theory data (PBE+U) for a relaxed structure of VPbClO3.

Its energy is -149.85 eV per cell. For the density, the calculation gives 5.5 g cm⁻³.

The structure belongs to space group Pnma (No. 62); the cell edges are 10.565, 5.359 and 7.303 Å and the angles 90.00°, 90.00° and 90.00°. The inequivalent atoms are V at (0.029, 0.250, 0.066), Pb at (0.157, 0.250, 0.610), Cl at (0.105, 0.750, 0.449), O at (0.085, 0.007, 0.887) and O at (0.135, 0.250, 0.230).